Crystalline SmGd2Tl at its relaxed geometry, computed with PBE.

Results
The value obtained for the energy above the most stable polymorph in this dataset is 0 meV/atom. The calculation puts the density of states at the Fermi level at 3.429 states/eV per cell. The raw total energy is -9.034 eV/atom. The formation enthalpy at 0 K comes out at -0.89 eV/f.u. Its space group is P4/mmm (123).

Cell: 4.932 4.890 4.890 Å, 90.00 90.00 90.00°
Atoms (fractional coordinates):
1 Gd 0.000 0.000 0.500
2 Gd 0.000 0.500 0.000
3 Tl 0.500 0.000 0.000
4 Sm 0.500 0.500 0.500